[1]
BaTaCo2 (PBE-GGA, relaxed); relative energy among the computed polymorphs = 185.9 meV/atom; E = -6.545 eV per atom; total magnetization = 0.00 μB/atom; ΔE_f = 0.45 eV per atom
1.0
7.127 0.975 -0.531
4.786 5.371 0.531
-5.692 -3.669 2.483
Ba Co Ta
1 2 1
Cartesian
2.960 2.669 1.507
0.463 0.247 0.000
2.474 -0.411 0.976
6.281 3.346 0.000



[2]
Pm2DyPuAs4 (PBE-GGA, relaxed); E = -7.271 eV per atom; total magnetization = 0.62 μB/atom; ΔE_f = -1.39 eV per atom
1.0
-0.899 -4.084 -0.226
7.047 -1.573 0.407
-2.803 0.247 6.668
Pm Dy Pu As
2 1 1 4
Cartesian
-1.851 -1.918 3.221
2.122 -0.663 3.538
3.074 -2.829 0.090
0.000 0.000 0.000
0.609 -2.369 1.594
2.737 -3.041 5.255
-0.351 -0.209 5.159
4.595 -1.117 1.917